# 1
The following is a DFT calculation (PBE) of crystalline K2CaCdBr6 at its relaxed geometry.

Results
crystal system	monoclinic
SG	No. 14
theoretical density	3.541	g/cm3
formation energy from raw total energies	-15.62	eV per formula unit

a b c (Å): 7.6155 7.9861 10.9509
angles (deg): 90.00 89.72 90.00
Sites, in units of the cell vectors:
K: 0.0261 0.9238 0.2515
K: 0.5261 0.5762 0.7515
K: 0.9739 0.0762 0.7485
K: 0.4739 0.4238 0.2485
Ca: 0.5000 0.0000 0.5000
Ca: 0.0000 0.5000 0.0000
Cd: 0.5000 0.0000 0.0000
Cd: 0.0000 0.5000 0.5000
Br: 0.3089 0.7027 0.0521
Br: 0.8089 0.7973 0.5521
Br: 0.6911 0.2973 0.9479
Br: 0.1911 0.2027 0.4479
Br: 0.3005 0.6950 0.4487
Br: 0.8005 0.8050 0.9487
Br: 0.6995 0.3050 0.5513
Br: 0.1995 0.1950 0.0513
Br: 0.8967 0.5246 0.2549
Br: 0.3967 0.9754 0.7549
Br: 0.1033 0.4754 0.7451
Br: 0.6033 0.0246 0.2451

---

# 2
The following is a DFT calculation (PBE) of crystalline Li2CaCdBr6 at its relaxed geometry.

Results
crystal system	trigonal
SG	No. 146
theoretical density	3.885	g/cm3
formation energy from raw total energies	-14.47	eV per formula unit

a b c (Å): 7.0369 7.0377 7.6114
angles (deg): 62.46 62.46 59.99
Sites, in units of the cell vectors:
Li: 0.5127 0.5125 0.4620
Li: 0.0099 0.0097 0.9708
Ca: 0.3186 0.3186 0.0441
Cd: 0.8178 0.8179 0.5465
Br: 0.6190 0.2347 0.2520
Br: 0.2348 0.8942 0.2520
Br: 0.8943 0.6191 0.2520
Br: 0.4070 0.7411 0.7453
Br: 0.7411 0.1066 0.7453
Br: 0.1065 0.4071 0.7453

---

# 3
The following is a DFT calculation (PBE) of crystalline Na2CaCdBr6 at its relaxed geometry.

Results
crystal system	tetragonal
SG	No. 99
theoretical density	3.068	g/cm3
formation energy from raw total energies	-13.78	eV per formula unit

a b c (Å): 5.8739 7.9030 7.9030
angles (deg): 90.00 90.00 90.00
Sites, in units of the cell vectors:
Na: 0.9309 0.5000 0.0000
Na: 0.9309 0.0000 0.5000
Ca: 0.6585 0.5000 0.5000
Cd: 0.6255 0.0000 0.0000
Br: 0.7342 0.2443 0.2443
Br: 0.7342 0.2443 0.7557
Br: 0.1785 0.5000 0.5000
Br: 0.1856 0.0000 0.0000
Br: 0.7342 0.7557 0.7557
Br: 0.7342 0.7557 0.2443

---

# 4
The following is a DFT calculation (PBE) of crystalline CaCdBr2O at its relaxed geometry.

Results
crystal system	orthorhombic
SG	No. 63
theoretical density	4.266	g/cm3
formation energy from raw total energies	-7.66	eV per formula unit

a b c (Å): 4.0787 7.2209 9.0457
angles (deg): 90.00 90.00 106.40
Sites, in units of the cell vectors:
Ca: 0.3745 0.7489 0.7500
Ca: 0.6255 0.2511 0.2500
Cd: 0.0000 0.0000 0.5000
Cd: 0.0000 0.0000 0.0000
Br: 0.6389 0.2778 0.5619
Br: 0.3611 0.7222 0.4381
Br: 0.3611 0.7222 0.0619
Br: 0.6389 0.2778 0.9381
O: 0.9408 0.8816 0.7500
O: 0.0592 0.1184 0.2500

---

# 5
The following is a DFT calculation (PBE) of crystalline Ca2CdBr2O2 at its relaxed geometry.

Results
crystal system	tetragonal
SG	No. 139
theoretical density	4.398	g/cm3
formation energy from raw total energies	-12.78	eV per formula unit

a b c (Å): 4.3160 4.3160 8.3669
angles (deg): 104.95 104.95 90.00
Sites, in units of the cell vectors:
Ca: 0.4009 0.4009 0.8017
Ca: 0.5991 0.5991 0.1983
Cd: 0.0000 0.0000 0.0000
Br: 0.1866 0.1866 0.3731
Br: 0.8134 0.8134 0.6269
O: 0.0000 0.5000 0.0000
O: 0.5000 0.0000 0.0000

---

# 6
The following is a DFT calculation (PBE) of crystalline Ca2CdOsBr at its relaxed geometry.

Results
crystal system	tetragonal
SG	No. 123
theoretical density	5.164	g/cm3
formation energy from raw total energies	3.74	eV per formula unit

a b c (Å): 5.3061 5.2849 5.3061
angles (deg): 90.00 90.00 90.00
Each line ends with the local moment (μB).
Sites, in units of the cell vectors:
Ca: 0.0000 0.0000 0.5000  -0.06
Ca: 0.5000 0.0000 0.0000  -0.07
Os: 0.5000 0.5000 0.5000  1.56
Br: 0.0000 0.0000 0.0000  -0.04
Cd: 0.0000 0.5000 0.0000  -0.04

---

# 7
The following is a DFT calculation (PBE) of crystalline Ca2CdPbBr8 at its relaxed geometry.

Results
crystal system	monoclinic
SG	No. 10
theoretical density	4.210	g/cm3
formation energy from raw total energies	-17.17	eV per formula unit

a b c (Å): 7.0034 6.6563 8.7911
angles (deg): 90.00 90.00 89.84
Sites, in units of the cell vectors:
Ca: 0.5000 0.5000 0.7582
Ca: 0.5000 0.5000 0.2418
Cd: 0.0000 0.0000 0.0000
Pb: 0.0000 0.0000 0.5000
Br: 0.1603 0.7649 0.2314
Br: 0.6666 0.7395 0.0000
Br: 0.8397 0.2351 0.2314
Br: 0.8397 0.2351 0.7686
Br: 0.3334 0.2605 0.0000
Br: 0.1603 0.7649 0.7686
Br: 0.6513 0.7263 0.5000
Br: 0.3487 0.2737 0.5000

---

# 8
The following is a DFT calculation (PBE) of crystalline CaCdPbBr6 at its relaxed geometry.

Results
crystal system	trigonal
SG	No. 163
theoretical density	4.575	g/cm3
formation energy from raw total energies	-11.18	eV per formula unit

a b c (Å): 7.2777 7.2777 13.2792
angles (deg): 90.00 90.00 120.00
Sites, in units of the cell vectors:
Ca: 0.3333 0.6667 0.2500
Ca: 0.6667 0.3333 0.7500
Cd: 0.6667 0.3333 0.2500
Cd: 0.3333 0.6667 0.7500
Pb: 0.0000 0.0000 0.0000
Pb: 0.0000 0.0000 0.5000
Br: 0.6543 0.6440 0.1283
Br: 0.9897 0.3457 0.1283
Br: 0.3457 0.9897 0.6283
Br: 0.0103 0.6543 0.8717
Br: 0.3560 0.3457 0.3717
Br: 0.9897 0.6440 0.3717
Br: 0.6440 0.9897 0.8717
Br: 0.6543 0.0103 0.3717
Br: 0.0103 0.3560 0.6283
Br: 0.3560 0.0103 0.1283
Br: 0.6440 0.6543 0.6283
Br: 0.3457 0.3560 0.8717